A relaxed structure of NaPmCuSn. Source: the Alexandria database, functional PBE.

- Calculated density: 5.99 g/cm3
- Formation energy: -201 meV/atom

Unit cell a=7.2973 b=7.2973 c=7.2973 alpha=90.00 beta=90.00 gamma=90.00
With the nearest neighbours (Å) after each atom.
Space group F-43m (No. 216)
Unique sites:
Na (0.0000, 0.0000, 0.0000)  4 Sn 3.16, 4 Cu 3.16
Pm (0.0000, 0.0000, 0.5000)  4 Cu 3.16, 4 Sn 3.16
Cu (0.2500, 0.2500, 0.2500)  4 Na 3.16, 4 Pm 3.16
Sn (0.2500, 0.2500, 0.7500)  4 Na 3.16, 4 Pm 3.16